Entry from Alexandria via LeMat-Bulk: NpBeCoSi2 after structural relaxation (PBE).

Calculated values
formation energy (no corrections)	-0.38	eV per atom
SG	I-4m2, No. 119
electronic total energy	-7.301	eV/atom
total magnetic moment	3.04	μB/cell

a = 5.538 Å, b = 5.538 Å, c = 5.538 Å
α = 139.13°, β = 139.13°, γ = 59.18°
Fractional positions:
Np: 0.000 0.000 0.000
Be: 0.250 0.750 0.500
Co: 0.750 0.250 0.500
Si: 0.376 0.376 0.000
Si: 0.624 0.624 0.000